Record 1
The following is a DFT calculation (GGA-PBE) of an optimized crystal structure of Er3BeS6.

Properties
SG: Cmc2_1
Fermi-level density of states (states/eV/atom): 0.1735
Raw formation energy (eV/atom): -1.667
Electronic total energy (eV per atom): -5.89

a b c (Å): 8.634 8.634 5.924
angles (deg): 90.00 90.00 102.24
Positions (direct):
Er 0.124 0.876 0.500
Er 0.218 0.436 0.572
Er 0.436 0.218 0.072
Er 0.564 0.782 0.572
Er 0.782 0.564 0.072
Er 0.876 0.124 0.000
Be 0.303 0.697 0.132
Be 0.697 0.303 0.632
S 0.079 0.601 0.275
S 0.146 0.174 0.294
S 0.174 0.146 0.794
S 0.283 0.717 0.783
S 0.399 0.921 0.275
S 0.452 0.548 0.254
S 0.548 0.452 0.754
S 0.601 0.079 0.775
S 0.717 0.283 0.283
S 0.826 0.854 0.294
S 0.854 0.826 0.794
S 0.921 0.399 0.775

***

Record 2
The following is a DFT calculation (GGA-PBE) of an optimized crystal structure of LiB2C2.

Properties
SG: P-3m1
DFT formation energy (eV per atom): 0.00
Fermi-level density of states (states/eV/atom): 0.1599
Relative energy among the computed polymorphs (meV/atom): 67
Electronic total energy (eV per atom): -6.75

a b c (Å): 2.710 2.710 7.702
angles (deg): 90.00 90.00 120.00
Positions (direct):
Li 0.000 0.000 0.000
B 0.333 0.667 0.234
B 0.667 0.333 0.766
C 0.333 0.667 0.774
C 0.667 0.333 0.226